Here is a relaxed KRb2BaI5 crystal from the Alexandria database. Energies are from GGA-PBE.

```
data_KRb2BaI5
_chemical_formula_sum 'K1 Rb2 Ba1 I5'
_cell_length_a 6.6112
_cell_length_b 6.6112
_cell_length_c 13.3400
_cell_angle_alpha 90.00
_cell_angle_beta 90.00
_cell_angle_gamma 90.00
_space_group_name_H-M_alt 'P 1'
_space_group_IT_number 1
_space_group_name_Hall 'P 1'
loop_
_atom_site_label
_atom_site_type_symbol
_atom_site_fract_x
_atom_site_fract_y
_atom_site_fract_z
K1 K 0.0000 0.0000 0.0000
Rb1 Rb 0.5000 0.5000 0.2791
Rb2 Rb 0.5000 0.5000 0.7209
Ba1 Ba 0.0000 0.0000 0.5000
I1 I 0.0000 0.0000 0.2458
I2 I 0.0000 0.0000 0.7542
I3 I 0.0000 0.5000 0.5000
I4 I 0.5000 0.0000 0.5000
I5 I 0.5000 0.5000 0.0000
```

Summary:
Formation energy without anion corrections (eV per atom): -1.459
Raw total energy (eV/atom): -2.871
Calculated volume (Å³ per cell): 583.1
SG: No. 123
Size of the total moment (μB per formula unit): 0.2



Here is a relaxed SmPd2O4 crystal from the Alexandria database. Energies are from GGA-PBE.

```
data_SmPd2O4
_chemical_formula_sum 'Sm2 Pd4 O8'
_cell_length_a 7.6496
_cell_length_b 6.6791
_cell_length_c 5.9457
_cell_angle_alpha 74.34
_cell_angle_beta 57.21
_cell_angle_gamma 48.45
_space_group_name_H-M_alt 'P 1'
_space_group_IT_number 1
_space_group_name_Hall 'P 1'
loop_
_atom_site_label
_atom_site_type_symbol
_atom_site_fract_x
_atom_site_fract_y
_atom_site_fract_z
Sm1 Sm 0.1250 0.1250 0.1250
Sm2 Sm 0.8750 0.8750 0.8750
Pd1 Pd 0.0000 0.5000 0.5000
Pd2 Pd 0.5000 0.0000 0.5000
Pd3 Pd 0.5000 0.5000 0.0000
Pd4 Pd 0.5000 0.5000 0.5000
O1 O 0.1579 0.3649 0.7441
O2 O 0.2331 0.7441 0.3649
O3 O 0.2559 0.7669 0.8421
O4 O 0.3649 0.1579 0.2331
O5 O 0.6351 0.8421 0.7669
O6 O 0.7441 0.2331 0.1579
O7 O 0.7669 0.2559 0.6351
O8 O 0.8421 0.6351 0.2559
```

Summary:
Formation energy without anion corrections (eV per atom): -1.363
Raw total energy (eV/atom): -6.354
Calculated volume (Å³ per cell): 189.2
SG: No. 70
Size of the total moment (μB per formula unit): 0.0



Here is a relaxed Y4ErS2 crystal from the Alexandria database. Energies are from GGA-PBE.

```
data_Y4ErS2
_chemical_formula_sum 'Y4 Er1 S2'
_cell_length_a 9.6798
_cell_length_b 9.6798
_cell_length_c 9.6798
_cell_angle_alpha 157.83
_cell_angle_beta 145.91
_cell_angle_gamma 41.04
_space_group_name_H-M_alt 'P 1'
_space_group_IT_number 1
_space_group_name_Hall 'P 1'
loop_
_atom_site_label
_atom_site_type_symbol
_atom_site_fract_x
_atom_site_fract_y
_atom_site_fract_z
Y1 Y 0.0966 0.0966 0.0000
Y2 Y 0.3150 0.3150 0.0000
Y3 Y 0.6850 0.6850 0.0000
Y4 Y 0.9034 0.9034 0.0000
Er1 Er 0.5000 0.0000 0.5000
S1 S 0.2045 0.7045 0.5000
S2 S 0.7955 0.2955 0.5000
```

Summary:
Formation energy without anion corrections (eV per atom): -1.019
Raw total energy (eV/atom): -6.544
Calculated volume (Å³ per cell): 191.5
SG: No. 71
Size of the total moment (μB per formula unit): 0.3